Below is MgBiO2F at its PBEsol-relaxed geometry, with properties calculated at the meta-GGA SCAN level.

Geometry as CIF:
```
data_MgBiO2F
_chemical_formula_sum 'Mg1 Bi1 O2 F1'
_space_group_name_H-M_alt 'P 1'
_space_group_IT_number 1
_space_group_name_Hall 'P 1'
_cell_length_a 4.432
_cell_length_b 4.432
_cell_length_c 4.405
_cell_angle_alpha 90.00
_cell_angle_beta 90.00
_cell_angle_gamma 90.00
loop_
_atom_site_label
_atom_site_type_symbol
_atom_site_fract_x
_atom_site_fract_y
_atom_site_fract_z
Mg1 Mg 0.000 0.000 0.000
Bi1 Bi 0.500 0.500 0.500
O1 O 0.000 0.500 0.500
O2 O 0.500 0.000 0.500
F1 F 0.500 0.500 0.000
```

***

Below is MnBiNF2 at its PBEsol-relaxed geometry, with properties calculated at the meta-GGA SCAN level.

Geometry as CIF:
```
data_MnBiNF2
_chemical_formula_sum 'Mn1 Bi1 N1 F2'
_space_group_name_H-M_alt 'P 1'
_space_group_IT_number 1
_space_group_name_Hall 'P 1'
_cell_length_a 4.462
_cell_length_b 4.462
_cell_length_c 4.460
_cell_angle_alpha 90.00
_cell_angle_beta 90.00
_cell_angle_gamma 90.00
loop_
_atom_site_label
_atom_site_type_symbol
_atom_site_fract_x
_atom_site_fract_y
_atom_site_fract_z
Mn1 Mn 0.000 0.000 0.000
Bi1 Bi 0.500 0.500 0.500
N1 N 0.500 0.500 0.000
F1 F 0.000 0.500 0.500
F2 F 0.500 0.000 0.500
```

***

Below is Sn2BiMoF at its PBEsol-relaxed geometry, with properties calculated at the meta-GGA SCAN level.

Geometry as CIF:
```
data_Sn2BiMoF
_chemical_formula_sum 'Sn2 Bi1 Mo1 F1'
_space_group_name_H-M_alt 'P 1'
_space_group_IT_number 1
_space_group_name_Hall 'P 1'
_cell_length_a 5.855
_cell_length_b 5.855
_cell_length_c 5.332
_cell_angle_alpha 90.00
_cell_angle_beta 90.00
_cell_angle_gamma 90.00
loop_
_atom_site_label
_atom_site_type_symbol
_atom_site_fract_x
_atom_site_fract_y
_atom_site_fract_z
Sn1 Sn 0.000 0.500 0.000
Sn2 Sn 0.500 0.000 0.000
Bi1 Bi 0.000 0.000 0.000
Mo1 Mo 0.000 0.000 0.500
F1 F 0.500 0.500 0.500
```

***

Number 1: ΔE_f (raw) -1.0600 eV per atom, ρ 5.46 g cm⁻³, volume 86.5 Å³ per cell. Number 2: ΔE_f (raw) -0.3969 eV per atom, ρ 5.91 g cm⁻³, volume 88.8 Å³ per cell. Number 3: ΔE_f (raw) 1.0874 eV per atom, ρ 5.10 g cm⁻³, volume 182.8 Å³ per cell.